A plane-wave DFT calculation with PBE was carried out for an optimized crystal structure of TeAs2W.

Cell and atoms, written as extended XYZ:
```
4
Lattice="-2.367 -2.157 3.635 0.990 -4.333 -1.926 2.744 -0.133 1.708" Properties=species:S:1:pos:R:3 pbc="T T T"
As 0.000 0.000 0.000
As -0.689 -3.245 0.854
Te 0.188 -1.145 2.671
W 1.867 -2.233 -0.109
```

* spin magnetization: 0.0 μB/f.u.
* formation energy (no corrections): 3.47 eV/f.u.